[1]
## RbBMo (GGA-PBE)

Data for crystalline RbBMo at its relaxed geometry.

Lattice parameters (Å, degrees): 4.336 4.336 4.336 60.00 60.00 60.00
Fractional positions:
1 Mo 0.000 0.000 0.000
2 B 0.250 0.250 0.250
3 Rb 0.750 0.750 0.750

Computed properties:
Energy above the lowest structure with this stoichiometry in eV/f.u.: 0.25
DFT total energy in eV per atom: -3.748
Crystal system: cubic
Symmetry: F-43m


[2]
## ReB4Mo (GGA-PBE)

Data for crystalline ReB4Mo at its relaxed geometry.

Lattice parameters (Å, degrees): 2.983 2.983 6.843 90.00 90.00 120.00
Fractional positions:
1 Mo 0.000 0.000 0.000
2 B 0.333 0.667 0.250
3 B 0.667 0.333 0.750
4 B 0.667 0.333 0.250
5 B 0.333 0.667 0.750
6 Re 0.000 0.000 0.500

Computed properties:
Energy above the lowest structure with this stoichiometry in eV/f.u.: 0.04
DFT total energy in eV per atom: -8.348
Crystal system: hexagonal
Symmetry: P6/mmm


[3]
## ReB4Mo (GGA-PBE)

Data for crystalline ReB4Mo at its relaxed geometry.

Lattice parameters (Å, degrees): 4.536 4.536 4.536 141.55 110.61 82.23
Fractional positions:
1 B 0.418 0.751 0.667
2 B 0.916 0.249 0.667
3 B 0.582 0.249 0.333
4 B 0.084 0.751 0.333
5 Mo 0.500 0.500 0.000
6 Re 0.000 0.000 0.000

Computed properties:
Energy above the lowest structure with this stoichiometry in eV/f.u.: 0.00
DFT total energy in eV per atom: -8.354
Crystal system: orthorhombic
Symmetry: Immm


[4]
## ReBMo2 (GGA-PBE)

Data for crystalline ReBMo2 at its relaxed geometry.

Lattice parameters (Å, degrees): 4.254 4.254 4.254 60.00 60.00 60.00
Fractional positions:
1 Mo 0.750 0.750 0.750
2 Mo 0.000 0.000 0.000
3 Re 0.250 0.250 0.250
4 B 0.500 0.500 0.500

Computed properties:
DFT total energy in eV per atom: -9.660
Crystal system: cubic
Symmetry: F-43m


[5]
## Re2BMo (GGA-PBE)

Data for crystalline Re2BMo at its relaxed geometry.

Lattice parameters (Å, degrees): 4.238 4.238 4.238 60.00 60.00 60.00
Fractional positions:
1 Mo 0.250 0.250 0.250
2 B 0.500 0.500 0.500
3 Re 0.000 0.000 0.000
4 Re 0.750 0.750 0.750

Computed properties:
DFT total energy in eV per atom: -9.998
Crystal system: cubic
Symmetry: F-43m


[6]
## Re2BMo (GGA-PBE)

Data for crystalline Re2BMo at its relaxed geometry.

Lattice parameters (Å, degrees): 2.997 7.301 4.880 90.00 107.86 90.00
Fractional positions:
1 Mo 0.428 0.750 0.857
2 Mo 0.572 0.250 0.143
3 Re 0.138 0.943 0.276
4 Re 0.138 0.557 0.276
5 Re 0.862 0.057 0.724
6 Re 0.862 0.443 0.724
7 B 0.736 0.750 0.472
8 B 0.264 0.250 0.528

Computed properties:
DFT total energy in eV per atom: -10.844
Crystal system: orthorhombic
Symmetry: Cmcm


[7]
## B3Mo4S (GGA-PBE)

Data for crystalline B3Mo4S at its relaxed geometry.

Lattice parameters (Å, degrees): 3.167 3.167 22.284 90.00 90.00 120.00
Fractional positions:
1 Mo 0.000 0.000 0.331
2 Mo 0.667 0.333 0.941
3 Mo 0.000 0.000 0.169
4 Mo 0.000 0.000 0.831
5 Mo 0.667 0.333 0.559
6 Mo 0.333 0.667 0.059
7 Mo 0.333 0.667 0.441
8 Mo 0.000 0.000 0.669
9 B 0.333 0.667 0.616
10 B 0.333 0.667 0.884
11 B 0.000 0.000 0.000
12 B 0.000 0.000 0.500
13 B 0.667 0.333 0.384
14 B 0.667 0.333 0.116
15 S 0.667 0.333 0.750
16 S 0.333 0.667 0.250

Computed properties:
DFT total energy in eV per atom: -8.711
Crystal system: hexagonal
Symmetry: P6_3/mmc


[8]
## B2Mo2S (GGA-PBE)

Data for crystalline B2Mo2S at its relaxed geometry.

Lattice parameters (Å, degrees): 6.266 6.266 3.013 90.00 90.00 152.27
Fractional positions:
1 S 0.000 0.000 0.000
2 Mo 0.362 0.637 0.500
3 Mo 0.637 0.362 0.500
4 B 0.785 0.215 0.000
5 B 0.215 0.785 0.000

Computed properties:
DFT total energy in eV per atom: -8.052
Crystal system: orthorhombic
Symmetry: Cmmm


[9]
## B2Mo3S (GGA-PBE)

Data for crystalline B2Mo3S at its relaxed geometry.

Lattice parameters (Å, degrees): 3.166 3.166 17.099 90.00 90.00 120.00
Fractional positions:
1 Mo 0.333 0.667 0.853
2 Mo 0.667 0.333 0.353
3 Mo 0.333 0.667 0.647
4 Mo 0.000 0.000 0.500
5 Mo 0.000 0.000 0.000
6 Mo 0.667 0.333 0.147
7 B 0.667 0.333 0.924
8 B 0.333 0.667 0.076
9 B 0.667 0.333 0.576
10 B 0.333 0.667 0.424
11 S 0.000 0.000 0.250
12 S 0.000 0.000 0.750

Computed properties:
DFT total energy in eV per atom: -8.611
Crystal system: hexagonal
Symmetry: P6_3/mmc


[10]
## BSb2Mo (GGA-PBE)

Data for crystalline BSb2Mo at its relaxed geometry.

Lattice parameters (Å, degrees): 4.702 4.702 4.702 60.00 60.00 60.00
Last column: magnetic moment on the atom in μB.
Fractional positions:
1 Sb 0.000 0.000 0.000  0.00
2 Sb 0.750 0.750 0.750  0.00
3 B 0.500 0.500 0.500  0.02
4 Mo 0.250 0.250 0.250  0.65

Computed properties:
DFT total energy in eV per atom: -5.115
Crystal system: cubic
Symmetry: F-43m


[11]
## B4SbMo (GGA-PBE)

Data for crystalline B4SbMo at its relaxed geometry.

Lattice parameters (Å, degrees): 3.008 3.008 8.642 90.00 90.00 120.00
Fractional positions:
1 Mo 0.000 0.000 0.000
2 B 0.333 0.667 0.191
3 B 0.333 0.667 0.809
4 B 0.667 0.333 0.809
5 B 0.667 0.333 0.191
6 Sb 0.000 0.000 0.500

Computed properties:
Energy above the lowest structure with this stoichiometry in eV/f.u.: 0.00
DFT total energy in eV per atom: -6.798
Crystal system: hexagonal
Symmetry: P6/mmm


[12]
## BSbMo (GGA-PBE)

Data for crystalline BSbMo at its relaxed geometry.

Lattice parameters (Å, degrees): 4.044 4.044 4.044 60.00 60.00 60.00
Fractional positions:
1 Sb 0.750 0.750 0.750
2 B 0.000 0.000 0.000
3 Mo 0.250 0.250 0.250

Computed properties:
Energy above the lowest structure with this stoichiometry in eV/f.u.: 0.00
DFT total energy in eV per atom: -6.313
Crystal system: cubic
Symmetry: F-43m


[13]
## B2SbMo (GGA-PBE)

Data for crystalline B2SbMo at its relaxed geometry.

Lattice parameters (Å, degrees): 4.320 4.320 4.320 60.00 60.00 60.00
Fractional positions:
1 B 0.250 0.250 0.250
2 B 0.500 0.500 0.500
3 Mo 0.750 0.750 0.750
4 Sb 0.000 0.000 0.000

Computed properties:
DFT total energy in eV per atom: -5.298
Crystal system: cubic
Symmetry: F-43m


[14]
## B4SbMo (GGA-PBE)

Data for crystalline B4SbMo at its relaxed geometry.

Lattice parameters (Å, degrees): 4.835 4.835 4.835 142.90 111.73 80.34
Fractional positions:
1 B 0.591 0.255 0.336
2 B 0.409 0.745 0.664
3 B 0.919 0.255 0.664
4 B 0.081 0.745 0.336
5 Sb 0.500 0.500 0.000
6 Mo 0.000 0.000 0.000

Computed properties:
Energy above the lowest structure with this stoichiometry in eV/f.u.: 1.78
DFT total energy in eV per atom: -6.501
Crystal system: orthorhombic
Symmetry: Immm


[15]
## B3SbMo4 (GGA-PBE)

Data for crystalline B3SbMo4 at its relaxed geometry.

Lattice parameters (Å, degrees): 3.202 3.202 23.699 90.00 90.00 120.00
Fractional positions:
1 B 0.333 0.667 0.891
2 B 0.333 0.667 0.609
3 B 0.000 0.000 0.500
4 B 0.000 0.000 0.000
5 B 0.667 0.333 0.391
6 B 0.667 0.333 0.109
7 Mo 0.000 0.000 0.343
8 Mo 0.000 0.000 0.157
9 Mo 0.667 0.333 0.555
10 Mo 0.000 0.000 0.657
11 Mo 0.000 0.000 0.843
12 Mo 0.667 0.333 0.945
13 Mo 0.333 0.667 0.055
14 Mo 0.333 0.667 0.445
15 Sb 0.667 0.333 0.750
16 Sb 0.333 0.667 0.250

Computed properties:
DFT total energy in eV per atom: -8.605
Crystal system: hexagonal
Symmetry: P6_3/mmc


[16]
## ScB3Mo (GGA-PBE)

Data for crystalline ScB3Mo at its relaxed geometry.

Lattice parameters (Å, degrees): 9.782 9.782 3.109 90.00 90.00 160.42
Fractional positions:
1 Mo 0.706 0.294 0.250
2 Mo 0.294 0.706 0.750
3 B 0.833 0.167 0.250
4 B 0.023 0.977 0.250
5 B 0.977 0.023 0.750
6 B 0.118 0.882 0.250
7 B 0.882 0.118 0.750
8 B 0.167 0.833 0.750
9 Sc 0.429 0.571 0.250
10 Sc 0.571 0.429 0.750

Computed properties:
DFT total energy in eV per atom: -8.160
Crystal system: orthorhombic
Symmetry: Cmcm


[17]
## Sc3B7Mo (GGA-PBE)

Data for crystalline Sc3B7Mo at its relaxed geometry.

Lattice parameters (Å, degrees): 7.725 7.725 9.169 90.00 90.00 155.28
Fractional positions:
1 B 0.363 0.637 0.647
2 B 0.363 0.637 0.853
3 B 0.729 0.271 0.468
4 B 0.637 0.363 0.147
5 B 0.271 0.729 0.532
6 B 0.516 0.484 0.410
7 B 0.516 0.484 0.090
8 B 0.729 0.271 0.032
9 B 0.557 0.443 0.750
10 B 0.484 0.516 0.590
11 B 0.484 0.516 0.910
12 B 0.271 0.729 0.968
13 B 0.637 0.363 0.353
14 B 0.443 0.557 0.250
15 Sc 0.108 0.892 0.943
16 Sc 0.754 0.246 0.750
17 Sc 0.108 0.892 0.557
18 Sc 0.892 0.108 0.057
19 Sc 0.246 0.754 0.250
20 Sc 0.892 0.108 0.443
21 Mo 0.051 0.949 0.250
22 Mo 0.949 0.051 0.750

Computed properties:
DFT total energy in eV per atom: -7.690
Crystal system: orthorhombic
Symmetry: Cmcm


[18]
## ScBMo2 (GGA-PBE)

Data for crystalline ScBMo2 at its relaxed geometry.

Lattice parameters (Å, degrees): 4.335 4.335 4.335 60.00 60.00 60.00
Fractional positions:
1 Mo 0.750 0.750 0.750
2 Mo 0.000 0.000 0.000
3 B 0.500 0.500 0.500
4 Sc 0.250 0.250 0.250

Computed properties:
DFT total energy in eV per atom: -8.421
Crystal system: cubic
Symmetry: F-43m


[19]
## ScB2Mo2 (GGA-PBE)

Data for crystalline ScB2Mo2 at its relaxed geometry.

Lattice parameters (Å, degrees): 5.600 5.600 5.600 142.44 142.44 54.16
Fractional positions:
1 Sc 0.000 0.000 0.000
2 B 0.587 0.587 0.000
3 B 0.413 0.413 0.000
4 Mo 0.750 0.250 0.500
5 Mo 0.250 0.750 0.500

Computed properties:
DFT total energy in eV per atom: -8.646
Crystal system: tetragonal
Symmetry: I4/mmm


[20]
## Sc2B6Mo (GGA-PBE)

Data for crystalline Sc2B6Mo at its relaxed geometry.

Lattice parameters (Å, degrees): 9.076 11.365 3.414 90.00 90.00 90.00
Fractional positions:
1 B 0.202 0.762 0.500
2 B 0.598 0.473 0.500
3 B 0.976 0.288 0.500
4 B 0.476 0.212 0.500
5 B 0.869 0.821 0.500
6 B 0.098 0.027 0.500
7 B 0.756 0.075 0.500
8 B 0.024 0.712 0.500
9 B 0.631 0.321 0.500
10 B 0.798 0.238 0.500
11 B 0.402 0.527 0.500
12 B 0.948 0.563 0.500
13 B 0.256 0.425 0.500
14 B 0.369 0.679 0.500
15 B 0.244 0.925 0.500
16 B 0.052 0.437 0.500
17 B 0.448 0.937 0.500
18 B 0.552 0.063 0.500
19 B 0.131 0.179 0.500
20 B 0.744 0.575 0.500
21 B 0.702 0.738 0.500
22 B 0.298 0.262 0.500
23 B 0.902 0.973 0.500
24 B 0.524 0.788 0.500
25 Mo 0.641 0.180 0.000
26 Mo 0.859 0.680 0.000
27 Mo 0.359 0.820 0.000
28 Mo 0.141 0.320 0.000
29 Sc 0.819 0.414 0.000
30 Sc 0.056 0.873 0.000
31 Sc 0.319 0.086 0.000
32 Sc 0.944 0.127 0.000
33 Sc 0.556 0.627 0.000
34 Sc 0.181 0.586 0.000
35 Sc 0.444 0.373 0.000
36 Sc 0.681 0.914 0.000

Computed properties:
DFT total energy in eV per atom: -7.765
Crystal system: orthorhombic
Symmetry: Pbam


no.,M_tot (μB/f.u.)
1,2.00
2,0.01
3,0.02
4,0.00
5,0.01
6,0.00
7,0.00
8,0.00
9,0.00
10,0.87
11,0.00
12,0.00
13,0.02
14,0.00
15,0.00
16,0.00
17,0.00
18,0.00
19,0.00
20,0.00